# 1
DFT (PBE-GGA) results for TaAg2Bi after structural relaxation.

Calculated values
- Energy of formation: 64 kJ/mol of atoms
- Total moment: 0.00 μB per formula unit

Cell lengths 7.8722, 7.8722, 6.2482 Å; angles 50.95, 50.95, 90.00 degrees
Closest atoms and distances in Å follow each position.
Fractional coordinates of all 8 atoms:
Bi1 0.0000 0.0000 0.0000  2 Ta 2.84, 4 Ag 2.93
Bi2 0.7500 0.2500 0.5000  2 Ta 2.84, 4 Ag 2.93
Ag1 0.6139 0.1250 0.2500  2 Ta 2.81, 2 Ag 2.84, 2 Bi 2.93
Ag2 0.1361 0.6250 0.2500  2 Ta 2.81, 2 Ag 2.84, 2 Bi 2.93
Ag3 0.3750 0.3861 0.7500  2 Ta 2.81, 2 Ag 2.84, 2 Bi 2.93
Ag4 0.8750 0.8639 0.7500  2 Ta 2.81, 2 Ag 2.84, 2 Bi 2.93
Ta1 0.5000 0.5000 0.0000  4 Ag 2.81, 2 Bi 2.84
Ta2 0.2500 0.7500 0.5000  4 Ag 2.81, 2 Bi 2.84



# 2
DFT (PBE-GGA) results for KDyPb4 after structural relaxation.

Calculated values
- Energy of formation: -10 kJ/mol of atoms
- Total moment: 0.00 μB per formula unit

Cell lengths 6.5340, 6.5340, 6.5340 Å; angles 60.00, 60.00, 60.00 degrees
Closest atoms and distances in Å follow each position.
Fractional coordinates of all 6 atoms:
Pb1 0.6260 0.6260 0.1219  6 Pb 3.24-3.29
Pb2 0.6260 0.1219 0.6260  6 Pb 3.24-3.29
Pb3 0.6260 0.6260 0.6260  6 Pb 3.24-3.29
Pb4 0.1219 0.6260 0.6260  6 Pb 3.24-3.29
K1 0.2500 0.2500 0.2500  12 Pb 3.83, 4 Dy 4.00
Dy1 0.0000 0.0000 0.0000  12 Pb 3.83, 4 K 4.00



# 3
DFT (PBE-GGA) results for LiPmBr4 after structural relaxation.

Calculated values
- E_form (uncorrected): -1718 meV per atom
- Total moment: 0.00 μB per formula unit
- Excess energy over the best structure of this formula in the dataset: 17 meV per atom

Cell lengths 7.0074, 6.9702, 9.8837 Å; angles 104.96, 105.10, 105.45 degrees
Closest atoms and distances in Å follow each position.
Fractional coordinates of all 12 atoms:
Li1 0.3480 0.5980 0.1959  2 Br 2.52
Li2 0.6520 0.4020 0.8041  2 Br 2.52
Pm1 0.8315 0.0815 0.1630  6 Br 2.77-3.04
Pm2 0.1685 0.9185 0.8370  6 Br 2.77-3.04
Br1 0.3198 0.0840 0.6436  1 Li 2.52, 1 Pm 2.77
Br2 0.0618 0.8008 0.0913  1 Li 2.88, 2 Pm 2.92-3.04
Br3 0.1763 0.4405 0.3564  1 Li 2.52, 1 Pm 2.77
Br4 0.4705 0.7095 0.9087  1 Li 2.88, 2 Pm 2.92-3.04
Br5 0.6802 0.9160 0.3564  1 Li 2.52, 1 Pm 2.77
Br6 0.8237 0.5595 0.6436  1 Li 2.52, 1 Pm 2.77
Br7 0.9382 0.1992 0.9087  1 Li 2.88, 2 Pm 2.92-3.04
Br8 0.5295 0.2905 0.0913  1 Li 2.88, 2 Pm 2.92-3.04



# 4
DFT (PBE-GGA) results for PmY2Pd9 after structural relaxation.

Calculated values
- Energy of formation: -79 kJ/mol of atoms
- Total moment: 0.00 μB per formula unit

Cell lengths 4.1545, 4.1545, 12.4431 Å; angles 90.00, 90.00, 90.00 degrees
Closest atoms and distances in Å follow each position.
Fractional coordinates of all 12 atoms:
Pm1 0.0000 0.0000 0.0000  12 Pd 2.94-2.96
Y1 0.0000 0.0000 0.3352  12 Pd 2.92-2.94
Y2 0.0000 0.0000 0.6648  12 Pd 2.92-2.94
Pd1 0.5000 0.5000 0.0000  4 Pm 2.94, 8 Pd 2.96
Pd2 0.5000 0.5000 0.3345  8 Pd 2.92, 4 Y 2.94
Pd3 0.5000 0.5000 0.6655  8 Pd 2.92, 4 Y 2.94
Pd4 0.5000 0.0000 0.1698  8 Pd 2.92-2.96, 2 Y 2.92, 2 Pm 2.96
Pd5 0.5000 0.0000 0.5000  4 Y 2.92, 8 Pd 2.92-2.94
Pd6 0.5000 0.0000 0.8302  8 Pd 2.92-2.96, 2 Y 2.92, 2 Pm 2.96
Pd7 0.0000 0.5000 0.1698  8 Pd 2.92-2.96, 2 Y 2.92, 2 Pm 2.96
Pd8 0.0000 0.5000 0.5000  4 Y 2.92, 8 Pd 2.92-2.94
Pd9 0.0000 0.5000 0.8302  8 Pd 2.92-2.96, 2 Y 2.92, 2 Pm 2.96



# 5
DFT (PBE-GGA) results for NaLi2Pr2In5 after structural relaxation.

Calculated values
- Energy of formation: -33 kJ/mol of atoms
- Total moment: 0.00 μB per formula unit

Cell lengths 4.5541, 10.3079, 10.3079 Å; angles 90.00, 90.00, 90.00 degrees
Closest atoms and distances in Å follow each position.
Fractional coordinates of all 20 atoms:
Na1 0.0000 0.0000 0.0000  8 In 3.21
Na2 0.0000 0.5000 0.5000  8 In 3.21
Li1 0.0000 0.1122 0.6122  6 In 2.80-2.97, 3 Pr 3.01-3.11
Li2 0.0000 0.8878 0.3878  6 In 2.80-2.97, 3 Pr 3.01-3.11
Li3 0.0000 0.6122 0.8878  6 In 2.80-2.97, 3 Pr 3.01-3.11
Li4 0.0000 0.3878 0.1122  6 In 2.80-2.97, 3 Pr 3.01-3.11
Pr1 0.0000 0.6815 0.1815  3 Li 3.01-3.11
Pr2 0.0000 0.3185 0.8185  3 Li 3.01-3.11
Pr3 0.0000 0.1815 0.3185  3 Li 3.01-3.11
Pr4 0.0000 0.8185 0.6815  3 Li 3.01-3.11
In1 0.5000 0.2097 0.0646  2 Li 2.97, 4 In 3.07-3.29, 2 Na 3.21
In2 0.5000 0.7903 0.9354  2 Li 2.97, 4 In 3.07-3.29, 2 Na 3.21
In3 0.5000 0.0646 0.7903  2 Li 2.97, 4 In 3.07-3.29, 2 Na 3.21
In4 0.5000 0.7097 0.4354  2 Li 2.97, 4 In 3.07-3.29, 2 Na 3.21
In5 0.5000 0.9354 0.2097  2 Li 2.97, 4 In 3.07-3.29, 2 Na 3.21
In6 0.5000 0.2903 0.5646  2 Li 2.97, 4 In 3.07-3.29, 2 Na 3.21
In7 0.5000 0.5646 0.7097  2 Li 2.97, 4 In 3.07-3.29, 2 Na 3.21
In8 0.5000 0.4354 0.2903  2 Li 2.97, 4 In 3.07-3.29, 2 Na 3.21
In9 0.5000 0.5000 0.0000  4 Li 2.80, 4 In 3.07
In10 0.5000 0.0000 0.5000  4 Li 2.80, 4 In 3.07



# 6
DFT (PBE-GGA) results for RbNaTl2Hg4 after structural relaxation.

Calculated values
- Energy of formation: -15 kJ/mol of atoms
- Total moment: 0.00 μB per formula unit

Cell lengths 5.2476, 5.2476, 11.1028 Å; angles 76.33, 76.33, 60.00 degrees
Closest atoms and distances in Å follow each position.
Fractional coordinates of all 8 atoms:
Rb1 0.0000 0.0000 0.0000  6 Hg 3.64
Na1 0.5000 0.5000 0.5000  8 Hg 3.19-3.33
Tl1 0.7641 0.7641 0.7076  7 Hg 3.22-3.26
Tl2 0.2359 0.2359 0.2924  7 Hg 3.22-3.26
Hg1 0.3961 0.3961 0.8117  3 Tl 3.23, 1 Na 3.33
Hg2 0.8647 0.8647 0.4058  3 Na 3.19, 4 Tl 3.22-3.26
Hg3 0.1353 0.1353 0.5942  3 Na 3.19, 4 Tl 3.22-3.26
Hg4 0.6039 0.6039 0.1883  3 Tl 3.23, 1 Na 3.33



# 7
DFT (PBE-GGA) results for TbCe2Hf after structural relaxation.

Calculated values
- Energy of formation: 13 kJ/mol of atoms
- Total moment: 0.03 μB per formula unit
- Excess energy over the best structure of this formula in the dataset: 0 meV per atom

Cell lengths 3.2966, 3.2966, 10.0685 Å; angles 90.00, 90.00, 90.00 degrees
Closest atoms and distances in Å follow each position.
Fractional coordinates of all 4 atoms:
Tb1 0.5000 0.5000 0.5000  4 Tb 3.30, 8 Ce 3.55
Hf1 0.5000 0.5000 0.0000  4 Hf 3.30, 8 Ce 3.32
Ce1 0.0000 0.0000 0.7657  4 Ce 3.30, 4 Hf 3.32, 4 Tb 3.55
Ce2 0.0000 0.0000 0.2343  4 Ce 3.30, 4 Hf 3.32, 4 Tb 3.55



# 8
DFT (PBE-GGA) results for ZrIn2Cu2 after structural relaxation.

Calculated values
- Energy of formation: 5 kJ/mol of atoms
- Total moment: 0.00 μB per formula unit
- Excess energy over the best structure of this formula in the dataset: 99 meV per atom

Cell lengths 7.9116, 7.9116, 2.9577 Å; angles 90.00, 90.00, 90.00 degrees
Closest atoms and distances in Å follow each position.
Fractional coordinates of all 10 atoms:
Cu1 0.1627 0.6627 0.5000  6 In 2.68-2.81, 2 Cu 2.96
Cu2 0.6627 0.8373 0.5000  6 In 2.68-2.81, 2 Cu 2.96
Cu3 0.8373 0.3373 0.5000  6 In 2.68-2.81, 2 Cu 2.96
Cu4 0.3373 0.1627 0.5000  6 In 2.68-2.81, 2 Cu 2.96
Zr1 0.0000 0.0000 0.0000  2 Zr 2.96, 4 In 3.07, 8 Cu 3.31
Zr2 0.5000 0.5000 0.0000  2 Zr 2.96, 4 In 3.07, 8 Cu 3.31
In1 0.3624 0.8624 0.0000  6 Cu 2.68-2.81, 2 In 2.96
In2 0.8624 0.6376 0.0000  6 Cu 2.68-2.81, 2 In 2.96
In3 0.6376 0.1376 0.0000  6 Cu 2.68-2.81, 2 In 2.96
In4 0.1376 0.3624 0.0000  6 Cu 2.68-2.81, 2 In 2.96



# 9
DFT (PBE-GGA) results for ZrTeF2 after structural relaxation.

Calculated values
- E_form (uncorrected): -1872 meV per atom
- Total moment: 0.00 μB per formula unit
- Excess energy over the best structure of this formula in the dataset: 171 meV per atom

Cell lengths 9.5059, 9.5059, 9.5059 Å; angles 18.26, 18.26, 18.26 degrees
Closest atoms and distances in Å follow each position.
Fractional coordinates of all 4 atoms:
Te1 0.0000 0.0000 0.0000  6 Te 3.02, 2 F 3.20
Zr1 0.5000 0.5000 0.5000  6 F 2.28
F1 0.8859 0.8859 0.8859  3 Zr 2.28
F2 0.1141 0.1141 0.1141  3 Zr 2.28



# 10
DFT (PBE-GGA) results for BeBS3 after structural relaxation.

Calculated values
- E_form (uncorrected): 1170 meV per atom
- Total moment: 0.00 μB per formula unit
- Excess energy over the best structure of this formula in the dataset: 1576 meV per atom

Cell lengths 4.2885, 4.2885, 4.2885 Å; angles 90.00, 90.00, 90.00 degrees
Closest atoms and distances in Å follow each position.
Fractional coordinates of all 5 atoms:
Be1 0.0000 0.0000 0.0000  6 S 2.14
S1 0.0000 0.5000 0.0000  2 Be 2.14
S2 0.0000 0.0000 0.5000  2 Be 2.14
S3 0.5000 0.0000 0.0000  2 Be 2.14
B1 0.5000 0.5000 0.5000  12 S 3.03



# 11
DFT (PBE-GGA) results for CaPa2RhO8 after structural relaxation.

Calculated values
- E_form (uncorrected): -2384 meV per atom
- Total moment: 0.93 μB per formula unit

Cell lengths 5.4310, 5.4310, 6.3550 Å; angles 90.00, 90.00, 120.00 degrees
Closest atoms and distances in Å follow each position.
Fractional coordinates of all 12 atoms:
Ca1 0.0000 0.0000 0.5000  6 O 2.67
Pa1 0.6667 0.3333 0.1233  1 O 1.87
Pa2 0.3333 0.6667 0.8767  1 O 1.87
Rh1 0.0000 0.0000 0.0000  6 O 1.97
O1 0.8250 0.6499 0.8300  1 Rh 1.97
O2 0.3501 0.1750 0.8300  1 Rh 1.97
O3 0.8250 0.1750 0.8300  1 Rh 1.97
O4 0.1750 0.3501 0.1700  1 Rh 1.97
O5 0.6499 0.8250 0.1700  1 Rh 1.97
O6 0.1750 0.8250 0.1700  1 Rh 1.97
O7 0.6667 0.3333 0.4182  1 Pa 1.87
O8 0.3333 0.6667 0.5818  1 Pa 1.87



# 12
DFT (PBE-GGA) results for CaRu2Se after structural relaxation.

Calculated values
- E_form (uncorrected): 94 meV per atom
- Total moment: 0.00 μB per formula unit

Cell lengths 5.5185, 5.5185, 4.8273 Å; angles 66.11, 66.11, 32.17 degrees
Closest atoms and distances in Å follow each position.
Fractional coordinates of all 4 atoms:
Ru1 0.0335 0.0335 0.9317  2 Se 2.59, 2 Ru 2.64
Ru2 0.4665 0.4665 0.5683  2 Se 2.59, 2 Ru 2.64
Ca1 0.2500 0.2500 0.2500  4 Se 2.86, 2 Ca 3.06, 6 Ru 3.12-3.14
Se1 0.7500 0.7500 0.7500  4 Ru 2.59, 4 Ca 2.86